*one*
Here is NpClF3 after structural relaxation from Alexandria via LeMat-Bulk. Energies are from PBE.

Cell lengths 5.762, 5.762, 8.702 Å; angles 70.66, 70.66, 60.00 degrees
Positions (direct):
Np 0.093 0.093 0.721
Np 0.907 0.907 0.279
Cl 0.207 0.207 0.380
Cl 0.793 0.793 0.620
F 0.228 0.228 0.842
F 0.701 0.228 0.842
F 0.772 0.299 0.158
F 0.299 0.772 0.158
F 0.772 0.772 0.158
F 0.228 0.701 0.842

Properties
DOS at the Fermi energy: 9.51 states/eV per cell
V: 23.12 A^3/atom



*two*
Here is NpClF3 after structural relaxation from Alexandria via LeMat-Bulk. Energies are from PBE.

Cell lengths 6.096, 5.418, 6.971 Å; angles 90.00, 114.98, 90.00 degrees
Positions (direct):
Np 0.862 0.448 0.868
Np 0.172 0.948 0.693
Cl 0.673 0.948 0.910
Cl 0.361 0.448 0.651
F 0.871 0.448 0.161
F 0.163 0.948 0.400
F 0.856 0.205 0.592
F 0.856 0.690 0.592
F 0.178 0.705 0.968
F 0.178 0.190 0.968

Properties
DOS at the Fermi energy: 16.85 states/eV per cell
V: 20.87 A^3/atom



*three*
Here is NpClF3 after structural relaxation from Alexandria via LeMat-Bulk. Energies are from PBE.

Cell lengths 4.454, 4.454, 4.454 Å; angles 90.00, 90.00, 90.00 degrees
Positions (direct):
Np 0.000 0.000 0.000
F 0.000 0.500 0.000
F 0.000 0.000 0.500
F 0.500 0.000 0.000
Cl 0.500 0.500 0.500

Properties
DOS at the Fermi energy: 6.77 states/eV per cell
V: 17.68 A^3/atom



Stability check: which of them is least stable? *one*.



*one*
Here is PCl2OF after structural relaxation from Alexandria via LeMat-Bulk. Energies are from PBE.

Cell lengths 5.625, 5.625, 3.315 Å; angles 90.00, 90.00, 90.00 degrees
Positions (direct):
P 0.000 0.000 0.500
F 0.500 0.500 0.500
O 0.000 0.000 0.000
Cl 0.000 0.500 0.000
Cl 0.500 0.000 0.000

Properties
DOS at the Fermi energy: 6.38 states/eV per cell
V: 20.98 A^3/atom



*two*
Here is PCl2OF after structural relaxation from Alexandria via LeMat-Bulk. Energies are from PBE.

Cell lengths 5.376, 5.376, 3.591 Å; angles 90.00, 90.00, 90.00 degrees
Positions (direct):
P 0.000 0.000 0.500
F 0.000 0.000 0.000
O 0.500 0.500 0.500
Cl 0.000 0.500 0.000
Cl 0.500 0.000 0.000

Properties
DOS at the Fermi energy: 3.63 states/eV per cell
V: 20.76 A^3/atom



Stability check: which of them is least stable? *two*.